No. 1
# KHg2Pt, PBEsol geometry, DFT SCAN
data_KHg2Pt
_cell_length_a 3.068
_cell_length_b 3.068
_cell_length_c 9.206
_cell_angle_alpha 90.00
_cell_angle_beta 90.00
_cell_angle_gamma 90.00
_space_group_name_H-M_alt 'P 4/m m m'
_space_group_IT_number 123
_space_group_name_Hall '-P 4 2'
loop_
_atom_site_label
_atom_site_type_symbol
_atom_site_fract_x
_atom_site_fract_y
_atom_site_fract_z
K1 K 0.000 0.000 0.000
Hg1 Hg 0.500 0.500 0.289
Pt1 Pt 0.000 0.000 0.500
# Theoretical density: 12.18 g cm⁻³
# Formation energy from the elements: 0.001 eV/atom
# Energy above the lowest structure with this stoichiometry: 0.00 eV per formula unit

***

No. 2
# BaInSe2, PBEsol geometry, DFT SCAN
data_BaInSe2
_cell_length_a 7.586
_cell_length_b 7.586
_cell_length_c 7.586
_cell_angle_alpha 90.00
_cell_angle_beta 90.00
_cell_angle_gamma 90.00
_space_group_name_H-M_alt 'F -4 3 m'
_space_group_IT_number 216
_space_group_name_Hall 'F -4 2 3'
loop_
_atom_site_label
_atom_site_type_symbol
_atom_site_fract_x
_atom_site_fract_y
_atom_site_fract_z
Ba1 Ba 0.000 0.000 0.000
In1 In 0.250 0.250 0.750
Se1 Se 0.000 0.000 0.500
Se2 Se 0.250 0.250 0.250
# Theoretical density: 6.24 g cm⁻³
# ΔE_f (raw): -631.8 meV/atom